No. 1
The following is a DFT calculation (PBE) of an optimized crystal structure of RbCrRu2Cl.

Calculated values
Calculated density   5.725 g/cm3
Magnetization   0.17 μB per formula unit
Uncorrected energy   -14.7 eV per cell

Unit cell a=4.836 b=4.836 c=4.652 alpha=90.00 beta=90.00 gamma=90.00
Positions (direct):
1 Rb 0.000 0.000 0.000
2 Cr 0.000 0.000 0.500
3 Ru 0.000 0.500 0.000
4 Ru 0.500 0.000 0.000
5 Cl 0.500 0.500 0.500


No. 2
The following is a DFT calculation (PBE) of an optimized crystal structure of RbCrSCl2.

Calculated values
Calculated density   3.321 g/cm3
Magnetization   3.00 μB per formula unit
Excess energy over the best structure of this formula in the dataset   0.000 eV/atom

Unit cell a=5.136 b=5.136 c=4.557 alpha=90.00 beta=90.00 gamma=90.00
Positions (direct):
1 Rb 0.000 0.000 0.000
2 Cr 0.500 0.500 0.500
3 S 0.500 0.500 0.000
4 Cl 0.000 0.500 0.500
5 Cl 0.500 0.000 0.500


No. 3
The following is a DFT calculation (PBE) of an optimized crystal structure of RbCrS2Cl.

Calculated values
Calculated density   3.410 g/cm3
Magnetization   2.25 μB per formula unit
Excess energy over the best structure of this formula in the dataset   0.000 eV/atom

Unit cell a=4.621 b=4.621 c=5.407 alpha=90.00 beta=90.00 gamma=90.00
Positions (direct):
1 Rb 0.000 0.000 0.000
2 Cr 0.500 0.500 0.500
3 S 0.000 0.500 0.500
4 S 0.500 0.000 0.500
5 Cl 0.500 0.500 0.000


No. 4
The following is a DFT calculation (PBE) of an optimized crystal structure of RbCrS2Cl.

Calculated values
Calculated density   2.008 g/cm3
Magnetization   1.99 μB per formula unit
Excess energy over the best structure of this formula in the dataset   1.704 eV/atom

Unit cell a=5.809 b=5.809 c=5.808 alpha=90.00 beta=90.00 gamma=90.00
Positions (direct):
1 Rb 0.000 0.000 0.000
2 Cr 0.500 0.500 0.500
3 S 0.000 0.500 0.000
4 S 0.500 0.000 0.000
5 Cl 0.000 0.000 0.500


No. 5
The following is a DFT calculation (PBE) of an optimized crystal structure of Rb2CrSCl6.

Calculated values
Calculated density   2.712 g/cm3
Magnetization   2.00 μB per formula unit
Uncorrected energy   -37.3 eV per cell

Unit cell a=7.223 b=7.223 c=7.223 alpha=113.35 beta=113.35 gamma=101.97
Positions (direct):
1 Rb 0.250 0.750 0.500
2 Rb 0.750 0.250 0.500
3 Cr 0.000 0.000 0.000
4 S 0.500 0.500 0.000
5 Cl 0.210 0.210 0.420
6 Cl 0.210 0.790 0.000
7 Cl 0.257 0.257 0.000
8 Cl 0.743 0.743 0.000
9 Cl 0.790 0.210 0.000
10 Cl 0.790 0.790 0.580


No. 6
The following is a DFT calculation (PBE) of an optimized crystal structure of RbCrSCl2.

Calculated values
Calculated density   1.953 g/cm3
Magnetization   5.49 μB per formula unit
Excess energy over the best structure of this formula in the dataset   1.579 eV/atom

Unit cell a=5.869 b=5.869 c=5.935 alpha=90.00 beta=90.00 gamma=90.00
Positions (direct):
1 Rb 0.000 0.000 0.000
2 Cr 0.500 0.500 0.500
3 S 0.000 0.000 0.500
4 Cl 0.000 0.500 0.000
5 Cl 0.500 0.000 0.000


No. 7
The following is a DFT calculation (PBE) of an optimized crystal structure of RbScCrCl6.

Calculated values
Calculated density   2.368 g/cm3
Magnetization   4.00 μB per formula unit
Uncorrected energy   -43.4 eV per cell

Unit cell a=6.496 b=6.496 c=7.363 alpha=91.62 beta=91.62 gamma=116.75
Positions (direct):
1 Rb 0.000 0.000 0.000
2 Sc 0.660 0.340 0.500
3 Cr 0.321 0.679 0.500
4 Cl 0.356 0.015 0.674
5 Cl 0.361 0.400 0.305
6 Cl 0.600 0.639 0.695
7 Cl 0.625 0.036 0.282
8 Cl 0.964 0.375 0.718
9 Cl 0.985 0.644 0.326


No. 8
The following is a DFT calculation (PBE) of an optimized crystal structure of Rb2CrSeCl6.

Calculated values
Calculated density   2.935 g/cm3
Magnetization   2.00 μB per formula unit
Uncorrected energy   -36.9 eV per cell

Unit cell a=7.259 b=7.259 c=7.259 alpha=113.10 beta=113.10 gamma=102.43
Positions (direct):
1 Rb 0.250 0.750 0.500
2 Rb 0.750 0.250 0.500
3 Cr 0.000 0.000 0.000
4 Se 0.500 0.500 0.000
5 Cl 0.210 0.210 0.420
6 Cl 0.210 0.790 0.000
7 Cl 0.249 0.249 0.000
8 Cl 0.751 0.751 0.000
9 Cl 0.790 0.210 0.000
10 Cl 0.790 0.790 0.580


No. 9
The following is a DFT calculation (PBE) of an optimized crystal structure of RbCrSiCl2.

Calculated values
Calculated density   1.895 g/cm3
Magnetization   3.00 μB per formula unit
Uncorrected energy   -15.8 eV per cell

Unit cell a=5.890 b=5.890 c=5.974 alpha=90.00 beta=90.00 gamma=90.00
Positions (direct):
1 Rb 0.000 0.000 0.000
2 Cr 0.500 0.500 0.500
3 Si 0.000 0.000 0.500
4 Cl 0.000 0.500 0.000
5 Cl 0.500 0.000 0.000


No. 10
The following is a DFT calculation (PBE) of an optimized crystal structure of RbCrSn2Cl8.

Calculated values
Calculated density   2.864 g/cm3
Magnetization   3.00 μB per formula unit
Uncorrected energy   -48.1 eV per cell

Unit cell a=6.976 b=7.079 c=8.173 alpha=71.71 beta=86.13 gamma=85.80
Positions (direct):
1 Rb 0.000 0.000 0.000
2 Cr 0.000 0.500 0.500
3 Sn 0.455 0.480 0.263
4 Sn 0.545 0.520 0.737
5 Cl 0.077 0.402 0.248
6 Cl 0.226 0.748 0.394
7 Cl 0.247 0.276 0.643
8 Cl 0.443 0.760 0.968
9 Cl 0.557 0.240 0.032
10 Cl 0.753 0.724 0.357
11 Cl 0.774 0.252 0.606
12 Cl 0.923 0.598 0.752


No. 11
The following is a DFT calculation (PBE) of an optimized crystal structure of Rb2CrSnCl6.

Calculated values
Calculated density   3.112 g/cm3
Magnetization   4.00 μB per formula unit
Uncorrected energy   -40.4 eV per cell

Unit cell a=7.477 b=7.477 c=7.477 alpha=119.96 beta=119.96 gamma=90.07
Positions (direct):
1 Rb 0.250 0.750 0.500
2 Rb 0.750 0.250 0.500
3 Cr 0.000 0.000 0.000
4 Sn 0.500 0.500 0.000
5 Cl 0.235 0.235 0.000
6 Cl 0.235 0.235 0.470
7 Cl 0.235 0.765 0.000
8 Cl 0.765 0.235 0.000
9 Cl 0.765 0.765 0.000
10 Cl 0.765 0.765 0.530


No. 12
The following is a DFT calculation (PBE) of an optimized crystal structure of Rb3Cr2SnCl9.

Calculated values
Calculated density   3.154 g/cm3
Magnetization   8.00 μB per formula unit
Uncorrected energy   -63.5 eV per cell

Unit cell a=7.315 b=7.315 c=9.068 alpha=90.00 beta=90.00 gamma=120.00
Positions (direct):
1 Rb 0.000 0.000 0.000
2 Rb 0.333 0.667 0.678
3 Rb 0.667 0.333 0.322
4 Cr 0.333 0.667 0.153
5 Cr 0.667 0.333 0.847
6 Sn 0.000 0.000 0.500
7 Cl 0.000 0.500 0.000
8 Cl 0.175 0.351 0.315
9 Cl 0.175 0.825 0.315
10 Cl 0.351 0.175 0.685
11 Cl 0.500 0.000 0.000
12 Cl 0.500 0.500 0.000
13 Cl 0.649 0.825 0.315
14 Cl 0.825 0.175 0.685
15 Cl 0.825 0.649 0.685